one.
PBE LiZrGa3, relaxed; D(E_F) = 2.3 states/eV/cell; SG = No. 221
1.0
-2.926 0.892 3.227
1.693 -3.303 2.448
2.888 2.840 1.834
Ga Li Zr
3 1 1
Direct
0.000 0.000 0.500 Ga
0.500 0.000 0.000 Ga
0.000 0.500 0.000 Ga
0.000 0.000 0.000 Li
0.500 0.500 0.500 Zr

two.
PBE LiZrGa3, relaxed; D(E_F) = 3.0 states/eV/cell; SG = No. 221
1.0
-3.997 1.103 -3.210
2.702 -1.968 -4.040
-2.055 -4.734 0.931
Zr Ga Li
1 3 1
Direct
0.000 0.000 0.000 Zr
0.500 0.000 0.000 Ga
0.000 0.500 0.000 Ga
0.000 0.000 0.500 Ga
0.500 0.500 0.500 Li

Q: What are the energies relative to the best structure? A: one 0; two 263, in meV per atom.